(1)
{
  "formula": "NaCuSe2O8",
  "functional": "GGA-PBE",
  "state": "optimized geometry",
  "cell": [[2.4568, 1.4184, 8.0183], [-2.4568, 1.4184, 8.0183], [0.0000, -2.8369, 8.0183]],
  "species": ["Na", "Cu", "Se", "Se", "O", "O", "O", "O", "O", "O", "O", "O"],
  "fractional_positions": [[0.0000, 0.0000, 0.0000], [0.5000, 0.5000, 0.5000], [0.2389, 0.2389, 0.2389], [0.7611, 0.7611, 0.7611], [0.1180, 0.7679, 0.4620], [0.2321, 0.5380, 0.8820], [0.3076, 0.3076, 0.3076], [0.4620, 0.1180, 0.7679], [0.5380, 0.8820, 0.2321], [0.6924, 0.6924, 0.6924], [0.7679, 0.4620, 0.1180], [0.8820, 0.2321, 0.5380]],
  "crystal_system": "trigonal",
  "space_group": "No. 148",
  "e_form_raw_ev_per_atom": -0.674
}

***

(2)
{
  "formula": "SiTcMo",
  "functional": "GGA-PBE",
  "state": "optimized geometry",
  "cell": [[4.6024, 0.0000, 0.0000], [0.0000, 2.4508, 3.8467], [0.0000, -2.4508, 3.8467]],
  "species": ["Si", "Si", "Tc", "Tc", "Mo", "Mo"],
  "fractional_positions": [[0.2500, 0.1801, 0.8199], [0.7500, 0.8199, 0.1801], [0.2500, 0.8344, 0.4814], [0.7500, 0.4814, 0.8344], [0.2500, 0.5102, 0.1612], [0.7500, 0.1612, 0.5102]],
  "crystal_system": "orthorhombic",
  "space_group": "No. 40",
  "e_form_raw_ev_per_atom": -0.212,
  "e_above_lowest_polymorph_ev_per_atom": 0.1610,
  "dos_at_fermi_per_ev_atom": 0.74
}

***

(3)
{
  "formula": "Tb2DyY4Mg",
  "functional": "GGA-PBE",
  "state": "optimized geometry",
  "cell": [[4.9738, 0.0000, 0.0000], [0.0000, 4.9838, 0.0000], [0.0000, 0.0000, 10.0308]],
  "species": ["Tb", "Tb", "Dy", "Y", "Y", "Y", "Y", "Mg"],
  "fractional_positions": [[0.0000, 0.0000, 0.0000], [0.5000, 0.5000, 0.5000], [0.0000, 0.0000, 0.5000], [0.0000, 0.5000, 0.2476], [0.0000, 0.5000, 0.7524], [0.5000, 0.0000, 0.2475], [0.5000, 0.0000, 0.7525], [0.5000, 0.5000, 0.0000]],
  "crystal_system": "orthorhombic",
  "e_form_mev_per_atom": 23,
  "space_group": "No. 47",
  "dos_at_fermi_per_ev_atom": 1.57
}

***

(4)
{
  "formula": "BaCa2SmHg4",
  "functional": "GGA-PBE",
  "state": "optimized geometry",
  "cell": [[2.7372, 1.5803, 9.1370], [-2.7372, 1.5803, 9.1370], [0.0000, -3.1606, 9.1370]],
  "species": ["Ba", "Ca", "Ca", "Sm", "Hg", "Hg", "Hg", "Hg"],
  "fractional_positions": [[0.0000, 0.0000, 0.0000], [0.2477, 0.2477, 0.2477], [0.7523, 0.7523, 0.7523], [0.5000, 0.5000, 0.5000], [0.1294, 0.1294, 0.1294], [0.3836, 0.3836, 0.3836], [0.6164, 0.6164, 0.6164], [0.8706, 0.8706, 0.8706]],
  "crystal_system": "trigonal",
  "e_form_mev_per_atom": -506,
  "space_group": "No. 166",
  "dos_at_fermi_per_ev_atom": 0.96
}

***

In eV for the cell shown, the electronic total energy values for the records above are, in order, -60.1 -54.5 -41.1 -15.9.